No. 1
MgCuRhAu, optimized geometry, DFT PBE; ρ = 10.64 Mg/m³; N(E_F) = 2.7 states/eV/cell; energy relative to the elements = -0.315 eV per atom; space group = Pmmm (47)
1.0
3.6608 0.0000 0.0000
0.0000 4.0166 0.0000
0.0000 0.0000 4.1137
Mg Cu Rh Au
1 1 1 1
direct
0.0000 0.0000 0.0000
0.0000 0.5000 0.5000
0.5000 0.5000 0.0000
0.5000 0.0000 0.5000

---

No. 2
SbPIr2, optimized geometry, DFT PBE; excess energy over the best structure of this formula in the dataset = 0.619 eV per atom; ρ = 13.75 Mg/m³; N(E_F) = 3.5 states/eV/cell; ΔE_f (raw) = 0.35 eV per atom; space group = Fm-3m (225)
1.0
0.0000 3.1894 3.1894
3.1894 0.0000 3.1894
3.1894 3.1894 0.0000
Sb P Ir
1 1 2
direct
0.0000 0.0000 0.0000
0.5000 0.5000 0.5000
0.2500 0.2500 0.2500
0.7500 0.7500 0.7500

---

No. 3
Ca5YS6, optimized geometry, DFT PBE; ρ = 2.92 Mg/m³; N(E_F) = 2.3 states/eV/cell; ΔE_f (raw) = -2.12 eV per atom; space group = C2/m (12)
1.0
3.4729 -6.0142 0.0000
3.4729 6.0142 0.0000
-2.3159 0.0000 6.5500
Ca Y S
5 1 6
direct
0.0000 0.0000 0.0000
0.1665 0.8335 0.5000
0.3321 0.6679 0.0000
0.6679 0.3321 0.0000
0.8335 0.1665 0.5000
0.5000 0.5000 0.5000
0.0902 0.4178 0.2533
0.2548 0.2548 0.7467
0.4178 0.0902 0.2533
0.5822 0.9098 0.7467
0.7452 0.7452 0.2533
0.9098 0.5822 0.7467

---

No. 4
InC2N, optimized geometry, DFT PBE; excess energy over the best structure of this formula in the dataset = 0.250 eV per atom; ρ = 4.50 Mg/m³; N(E_F) = 0.1 states/eV/cell; ΔE_f (raw) = 0.75 eV per atom; space group = P1 (1)
1.0
3.6099 0.0000 0.0000
-0.0066 3.7341 0.0000
-0.1990 -1.8630 4.1851
In C N
1 2 1
direct
0.0000 0.0000 0.0000
0.0422 0.3414 0.6818
0.7083 0.2319 0.4633
0.3485 0.2328 0.4647

---

No. 5
MgTl2CdRh, optimized geometry, DFT PBE; ρ = 7.68 Mg/m³; N(E_F) = 2.4 states/eV/cell; energy relative to the elements = 0.021 eV per atom; space group = P4/mmm (123)
1.0
5.2851 0.0000 0.0000
0.0000 5.2851 0.0000
0.0000 0.0000 5.0201
Mg Tl Cd Rh
1 2 1 1
direct
0.0000 0.0000 0.0000
0.0000 0.5000 0.5000
0.5000 0.0000 0.5000
0.5000 0.5000 0.0000
0.0000 0.0000 0.5000

---

No. 6
PmSmY2Er2, optimized geometry, DFT PBE; ρ = 6.72 Mg/m³; N(E_F) = 19.3 states/eV/cell; energy relative to the elements = 0.270 eV per atom; space group = Pnnm (58)
1.0
6.5590 0.0000 0.0000
0.0000 17.8432 0.0000
0.0000 0.0000 3.4090
Pm Sm Y Er
2 2 4 4
direct
0.0000 0.0000 0.0000
0.5000 0.5000 0.5000
0.0000 0.5000 0.0000
0.5000 0.0000 0.5000
0.2259 0.1861 0.0000
0.2741 0.6861 0.5000
0.7259 0.3139 0.5000
0.7741 0.8139 0.0000
0.2247 0.3520 0.5000
0.2753 0.8520 0.0000
0.7247 0.1480 0.0000
0.7753 0.6480 0.5000

---

No. 7
Li2ReGe2, optimized geometry, DFT PBE; excess energy over the best structure of this formula in the dataset = 0.202 eV per atom; ρ = 8.16 Mg/m³; N(E_F) = 7.5 states/eV/cell; energy relative to the elements = 0.267 eV per atom; space group = P4/mbm (127)
1.0
7.2280 0.0000 0.0000
0.0000 7.2280 0.0000
0.0000 0.0000 2.6895
Li Re Ge
4 2 4
direct
0.1138 0.3862 0.0000
0.3862 0.8862 0.0000
0.6138 0.1138 0.0000
0.8862 0.6138 0.0000
0.0000 0.0000 0.0000
0.5000 0.5000 0.0000
0.1821 0.6821 0.5000
0.3179 0.1821 0.5000
0.6821 0.8179 0.5000
0.8179 0.3179 0.5000

---

No. 8
TiCuMoRu2, optimized geometry, DFT PBE; ρ = 7.52 Mg/m³; N(E_F) = 7.1 states/eV/cell; energy relative to the elements = 1.405 eV per atom; space group = P4/mmm (123)
1.0
4.4721 0.0000 0.0000
0.0000 4.4721 0.0000
0.0000 0.0000 4.5218
Ti Cu Mo Ru
1 1 1 2
direct
0.0000 0.0000 0.0000
0.5000 0.5000 0.5000
0.0000 0.0000 0.5000
0.0000 0.5000 0.0000
0.5000 0.0000 0.0000